Crystalline CuPt2Au at its relaxed geometry, computed with PBEsol.

- energy of formation (meV per atom) = -19
- excess energy over the best structure of this formula in the dataset (meV per atom) = 42
- space group = C2/m (12)
- energy (Ry per atom) = -0.40902

POSCAR file:
```
CuPt2Au
1.0
2.694 -4.677 0.000
2.694 4.677 0.000
-1.361 0.000 2.362
Cu Pt Au
1 2 1
direct
0.000 0.000 0.000
0.000 0.500 0.500
0.500 0.000 0.500
0.500 0.500 0.000
```

Crystalline CuPt2Au at its relaxed geometry, computed with PBEsol.

- energy of formation (meV per atom) = -8
- excess energy over the best structure of this formula in the dataset (meV per atom) = 52
- space group = Pmm2 (25)
- energy (Ry per atom) = -0.40826

POSCAR file:
```
CuPt2Au
1.0
2.758 0.000 0.000
0.000 3.792 0.000
0.000 0.000 5.625
Cu Pt Au
1 2 1
direct
0.000 0.000 0.000
0.000 0.000 0.482
0.500 0.500 0.235
0.500 0.500 0.752
```

Crystalline CuPtAu at its relaxed geometry, computed with PBEsol.

- energy of formation (meV per atom) = 480
- excess energy over the best structure of this formula in the dataset (meV per atom) = 541
- space group = F-43m (216)
- energy (Ry per atom) = -0.33762

POSCAR file:
```
CuPtAu
1.0
0.000 2.980 2.980
2.980 0.000 2.980
2.980 2.980 0.000
Cu Pt Au
1 1 1
direct
0.000 0.000 0.000
0.500 0.500 0.500
0.750 0.750 0.750
```

Crystalline CuPt2Au at its relaxed geometry, computed with PBEsol.

- energy of formation (meV per atom) = -16
- excess energy over the best structure of this formula in the dataset (meV per atom) = 44
- space group = P2/m (10)
- energy (Ry per atom) = -0.40885

POSCAR file:
```
CuPt2Au
1.0
2.726 0.000 0.000
0.000 4.658 0.000
-0.057 0.000 4.681
Cu Pt Au
1 2 1
direct
0.000 0.000 0.000
0.241 0.500 0.756
0.759 0.500 0.244
0.500 0.000 0.500
```

Crystalline RbCu2Au2 at its relaxed geometry, computed with PBEsol.

- energy of formation (meV per atom) = 212
- excess energy over the best structure of this formula in the dataset (meV per atom) = 39
- space group = I4/mmm (139)
- energy (Ry per atom) = -0.24225

POSCAR file:
```
RbCu2Au2
1.0
-2.208 2.208 5.192
2.208 -2.208 5.192
2.208 2.208 -5.192
Rb Cu Au
1 2 2
direct
0.000 0.000 0.000
0.380 0.380 0.000
0.620 0.620 0.000
0.250 0.750 0.500
0.750 0.250 0.500
```

Crystalline Rb2CuAu at its relaxed geometry, computed with PBEsol.

- energy of formation (meV per atom) = 270
- space group = Fm-3m (225)
- energy (Ry per atom) = -0.16958

POSCAR file:
```
Rb2CuAu
1.0
0.000 4.014 4.014
4.014 0.000 4.014
4.014 4.014 0.000
Rb Cu Au
2 1 1
direct
0.250 0.250 0.250
0.750 0.750 0.750
0.000 0.000 0.000
0.500 0.500 0.500
```

Crystalline RbCu2Au2 at its relaxed geometry, computed with PBEsol.

- energy of formation (meV per atom) = 173
- excess energy over the best structure of this formula in the dataset (meV per atom) = 0
- space group = I4/mmm (139)
- energy (Ry per atom) = -0.24515

POSCAR file:
```
RbCu2Au2
1.0
-2.190 2.190 5.401
2.190 -2.190 5.401
2.190 2.190 -5.401
Rb Cu Au
1 2 2
direct
0.000 0.000 0.000
0.250 0.750 0.500
0.750 0.250 0.500
0.373 0.373 0.000
0.627 0.627 0.000
```

Crystalline CuReAu2 at its relaxed geometry, computed with PBEsol.

- energy of formation (meV per atom) = 379
- excess energy over the best structure of this formula in the dataset (meV per atom) = 0
- space group = Cm (8)
- energy (Ry per atom) = -0.44099

POSCAR file:
```
CuReAu2
1.0
4.589 -1.346 0.000
4.589 1.346 0.000
-0.784 0.000 4.869
Cu Re Au
1 1 2
direct
0.000 0.000 0.000
0.262 0.262 0.751
0.511 0.511 0.523
0.749 0.749 0.235
```